AlSnAs3 GGA-PBE relaxed; formation energy = 0.9495 eV/atom; polymorph energy (0 for the lowest one) = 0.5602 eV per atom; space-group type = Pm-3m, No. 221
1.0
-0.892 -0.218 -5.196
3.086 -4.265 -0.351
-4.186 -3.098 0.849
As Sn Al
3 1 1
direct
0.000 0.500 0.000
0.000 0.000 0.500
0.500 0.000 0.000
0.000 0.000 0.000
0.500 0.500 0.500


Al2SnTeAs GGA-PBE relaxed; ΔE_f (raw) = 0.832 eV per atom; space-group type = P4/mmm, No. 123
1.0
5.200 0.000 0.000
0.000 5.743 0.000
0.000 0.000 5.200
As Te Sn Al
1 1 1 2
direct
0.500 0.500 0.500
0.000 0.500 0.000
0.000 0.000 0.000
0.000 0.000 0.500
0.500 0.000 0.000